## Mg2CuGe2 (PBEsol)

Data for a relaxed structure of Mg2CuGe2.

uncorrected energy = -3.64 eV per atom

a b c (Å): 6.4248 6.4248 4.2267
angles (deg): 90.00 90.00 90.00
Space group P4/mbm (No. 127)
Symmetry-distinct sites (fractional):
1 Mg 0.1718 0.3282 0.0000 [4 per cell]
2 Cu 0.0000 0.0000 0.5000 [2 per cell]
3 Ge 0.1421 0.6421 0.5000 [4 per cell]


## Mg2Cu3Ge (PBEsol)

Data for a relaxed structure of Mg2Cu3Ge.

uncorrected energy = -3.69 eV per atom

a b c (Å): 8.0589 5.1036 8.5227
angles (deg): 90.00 90.00 90.00
Space group Amm2 (No. 38)
Symmetry-distinct sites (fractional):
1 Mg 0.1768 0.0000 0.0000 [4 per cell]
2 Mg 0.2920 0.0000 0.3401 [4 per cell]
3 Cu 0.0000 0.0000 0.5006 [2 per cell]
4 Cu 0.0000 0.2461 0.2513 [4 per cell]
5 Cu 0.2490 0.0000 0.6730 [4 per cell]
6 Cu 0.5000 0.0000 0.8490 [2 per cell]
7 Ge 0.5000 0.2469 0.0947 [4 per cell]


## Mg2Cu3Ge (PBEsol)

Data for a relaxed structure of Mg2Cu3Ge.

uncorrected energy = -3.79 eV per atom

a b c (Å): 4.9941 4.9941 7.9199
angles (deg): 90.00 90.00 120.00
Space group P6_3/mmc (No. 194)
Symmetry-distinct sites (fractional):
1 Mg 0.3333 0.6667 0.0632 [4 per cell]
2 Cu 0.1707 0.3414 0.7500 [6 per cell]
3 Ge 0.0000 0.0000 0.0000 [2 per cell]


| no. | formation energy from the elements (eV/atom) |
| --- | --- |
| 1 | -0.109 |
| 2 | -0.132 |
| 3 | -0.228 |